[1]
DFT (PBE) results for an optimized crystal structure of AlTcRu2.

a = 2.9022 Å, b = 4.5884 Å, c = 8.6445 Å
α = 90.00°, β = 90.00°, γ = 90.00°
With the nearest neighbours (Å) after each atom.
Sites, in units of the cell vectors:
Al 0.0000 0.0000 0.0000  2 Ru 2.51, 2 Tc 2.62, 4 Al 2.71
Al 0.5000 0.5000 0.0000  2 Ru 2.51, 2 Tc 2.62, 4 Al 2.71
Tc 0.0000 0.5000 0.2528  2 Ru 2.60, 2 Al 2.62, 6 Tc 2.71-2.90
Tc 0.5000 0.0000 0.2528  2 Ru 2.60, 2 Al 2.62, 6 Tc 2.71-2.90
Ru 0.0000 0.0000 0.5028  2 Tc 2.60, 8 Ru 2.68-2.90
Ru 0.0000 0.5000 0.7636  2 Al 2.51, 6 Ru 2.68-2.71
Ru 0.5000 0.0000 0.7636  2 Al 2.51, 6 Ru 2.68-2.71
Ru 0.5000 0.5000 0.5028  2 Tc 2.60, 8 Ru 2.68-2.90

Its space-group type is Cmm2 (35). The calculation puts the mass density at 9.4 g/cm3. For the total energy, the calculation gives -64.3 eV/cell. The value obtained for the energy relative to the elements is 0.127 eV per atom. The energy above the most stable polymorph in this dataset is 0.432 eV/atom. The crystal system is orthorhombic.

***

[2]
DFT (PBE) results for an optimized crystal structure of TlP2Rh.

a = 6.5123 Å, b = 6.5123 Å, c = 6.5123 Å
α = 90.00°, β = 90.00°, γ = 90.00°
With the nearest neighbours (Å) after each atom.
Sites, in units of the cell vectors:
Tl 0.0000 0.0000 0.0000  8 P 2.82
Tl 0.0000 0.5000 0.5000  8 P 2.82
Tl 0.5000 0.0000 0.5000  8 P 2.82
Tl 0.5000 0.5000 0.0000  8 P 2.82
P 0.2500 0.2500 0.2500  4 Tl 2.82, 4 Rh 2.82
P 0.2500 0.2500 0.7500  4 Tl 2.82, 4 Rh 2.82
P 0.2500 0.7500 0.2500  4 Tl 2.82, 4 Rh 2.82
P 0.2500 0.7500 0.7500  4 Rh 2.82, 4 Tl 2.82
P 0.7500 0.2500 0.2500  4 Tl 2.82, 4 Rh 2.82
P 0.7500 0.2500 0.7500  4 Rh 2.82, 4 Tl 2.82
P 0.7500 0.7500 0.2500  4 Rh 2.82, 4 Tl 2.82
P 0.7500 0.7500 0.7500  4 Tl 2.82, 4 Rh 2.82
Rh 0.0000 0.0000 0.5000  8 P 2.82
Rh 0.0000 0.5000 0.0000  8 P 2.82
Rh 0.5000 0.0000 0.0000  8 P 2.82
Rh 0.5000 0.5000 0.5000  8 P 2.82

Its space-group type is Fm-3m (225). The calculation puts the mass density at 8.9 g/cm3. For the total energy, the calculation gives -74.9 eV/cell. The value obtained for the energy relative to the elements is 0.452 eV per atom. The energy above the most stable polymorph in this dataset is 0.620 eV/atom. The crystal system is cubic.

***

[3]
DFT (PBE) results for an optimized crystal structure of TiFeH2.

a = 4.9874 Å, b = 4.9874 Å, c = 4.9874 Å
α = 90.00°, β = 90.00°, γ = 90.00°
With the nearest neighbours (Å) after each atom.
Sites, in units of the cell vectors:
Ti 0.0000 0.0000 0.0000  8 H 2.16
Ti 0.0000 0.5000 0.5000  8 H 2.16
Ti 0.5000 0.0000 0.5000  8 H 2.16
Ti 0.5000 0.5000 0.0000  8 H 2.16
Fe 0.0000 0.0000 0.5000  8 H 2.16
Fe 0.0000 0.5000 0.0000  8 H 2.16
Fe 0.5000 0.0000 0.0000  8 H 2.16
Fe 0.5000 0.5000 0.5000  8 H 2.16
H 0.2500 0.2500 0.2500  4 Fe 2.16, 4 Ti 2.16
H 0.2500 0.2500 0.7500  4 Fe 2.16, 4 Ti 2.16
H 0.2500 0.7500 0.2500  4 Fe 2.16, 4 Ti 2.16
H 0.2500 0.7500 0.7500  4 Fe 2.16, 4 Ti 2.16
H 0.7500 0.2500 0.2500  4 Fe 2.16, 4 Ti 2.16
H 0.7500 0.2500 0.7500  4 Fe 2.16, 4 Ti 2.16
H 0.7500 0.7500 0.2500  4 Fe 2.16, 4 Ti 2.16
H 0.7500 0.7500 0.7500  4 Fe 2.16, 4 Ti 2.16

Its space-group type is Fm-3m (225). The calculation puts the mass density at 5.7 g/cm3. For the total energy, the calculation gives -89.4 eV/cell. The energy above the most stable polymorph in this dataset is 0.471 eV/atom. The crystal system is cubic.

***

[4]
DFT (PBE) results for an optimized crystal structure of SbAsCl2.

a = 9.9684 Å, b = 9.9684 Å, c = 5.5752 Å
α = 90.00°, β = 90.00°, γ = 90.00°
With the nearest neighbours (Å) after each atom.
Sites, in units of the cell vectors:
Sb 0.0000 0.0000 0.0000  4 Cl 2.75, 2 As 2.79
Sb 0.0000 0.5000 0.2500  4 Cl 2.75, 2 As 2.79
Sb 0.5000 0.0000 0.7500  4 Cl 2.75, 2 As 2.79
Sb 0.5000 0.5000 0.5000  4 Cl 2.75, 2 As 2.79
As 0.0000 0.0000 0.5000  2 Sb 2.79
As 0.0000 0.5000 0.7500  2 Sb 2.79
As 0.5000 0.0000 0.2500  2 Sb 2.79
As 0.5000 0.5000 0.0000  2 Sb 2.79
Cl 0.0939 0.7500 0.1250  2 Sb 2.75
Cl 0.2500 0.0939 0.8750  2 Sb 2.75
Cl 0.2500 0.4061 0.3750  2 Sb 2.75
Cl 0.4061 0.7500 0.6250  2 Sb 2.75
Cl 0.5939 0.2500 0.6250  2 Sb 2.75
Cl 0.7500 0.5939 0.3750  2 Sb 2.75
Cl 0.7500 0.9061 0.8750  2 Sb 2.75
Cl 0.9061 0.2500 0.1250  2 Sb 2.75

Its space-group type is I-42d (122). The calculation puts the mass density at 3.2 g/cm3. For the total energy, the calculation gives -49.1 eV/cell. The energy above the most stable polymorph in this dataset is 0.485 eV/atom. The crystal system is tetragonal.

***

[5]
DFT (PBE) results for an optimized crystal structure of BaTlCr2.

a = 7.5063 Å, b = 7.5063 Å, c = 7.5063 Å
α = 90.00°, β = 90.00°, γ = 90.00°
With the nearest neighbours (Å) after each atom.
Sites, in units of the cell vectors:
Ba 0.0000 0.0000 0.0000  8 Cr 3.25
Ba 0.0000 0.5000 0.5000  8 Cr 3.25
Ba 0.5000 0.0000 0.5000  8 Cr 3.25
Ba 0.5000 0.5000 0.0000  8 Cr 3.25
Tl 0.0000 0.0000 0.5000  8 Cr 3.25
Tl 0.0000 0.5000 0.0000  8 Cr 3.25
Tl 0.5000 0.0000 0.0000  8 Cr 3.25
Tl 0.5000 0.5000 0.5000  8 Cr 3.25
Cr 0.2500 0.2500 0.2500  4 Ba 3.25, 4 Tl 3.25
Cr 0.2500 0.2500 0.7500  4 Ba 3.25, 4 Tl 3.25
Cr 0.2500 0.7500 0.2500  4 Ba 3.25, 4 Tl 3.25
Cr 0.2500 0.7500 0.7500  4 Ba 3.25, 4 Tl 3.25
Cr 0.7500 0.2500 0.2500  4 Ba 3.25, 4 Tl 3.25
Cr 0.7500 0.2500 0.7500  4 Ba 3.25, 4 Tl 3.25
Cr 0.7500 0.7500 0.2500  4 Ba 3.25, 4 Tl 3.25
Cr 0.7500 0.7500 0.7500  4 Ba 3.25, 4 Tl 3.25

Its space-group type is Fm-3m (225). The calculation puts the mass density at 7.0 g/cm3. For the total energy, the calculation gives -82.4 eV/cell. The value obtained for the energy relative to the elements is 0.731 eV per atom. The energy above the most stable polymorph in this dataset is 0.342 eV/atom. The crystal system is cubic.

***

[6]
DFT (PBE) results for an optimized crystal structure of Cs2Zn2Te.

a = 8.5467 Å, b = 8.5467 Å, c = 5.3854 Å
α = 90.00°, β = 90.00°, γ = 90.00°
With the nearest neighbours (Å) after each atom.
Sites, in units of the cell vectors:
Cs 0.1887 0.3113 0.0000  6 Zn 3.58-3.80
Cs 0.3113 0.8113 0.0000  6 Zn 3.58-3.80
Cs 0.6887 0.1887 0.0000  6 Zn 3.58-3.80
Cs 0.8113 0.6887 0.0000  6 Zn 3.58-3.80
Zn 0.1157 0.6157 0.5000  1 Zn 2.80
Zn 0.3843 0.1157 0.5000  1 Zn 2.80
Zn 0.6157 0.8843 0.5000  1 Zn 2.80
Zn 0.8843 0.3843 0.5000  1 Zn 2.80
Te 0.0000 0.0000 0.5000  4 Zn 3.43
Te 0.5000 0.5000 0.5000  4 Zn 3.43

Its space-group type is P4/mbm (127). The calculation puts the mass density at 4.4 g/cm3. For the total energy, the calculation gives -16.9 eV/cell. The crystal system is tetragonal.

***

| no. | volume (A^3/atom) |
| --- | --- |
| 1 | 14.4 |
| 2 | 17.3 |
| 3 | 7.8 |
| 4 | 34.6 |
| 5 | 26.4 |
| 6 | 39.3 |